Density functional theory data (PBE+U) for a relaxed Li3MnCoO5 crystal.

abc: 5.133 5.133 12.808
angles: 101.16 101.16 32.50
Sites, in units of the cell vectors:
Li  0.000  0.000  0.000
Li  0.093  0.093  0.701
Li  0.303  0.303  0.090
Li  0.500  0.500  0.500
Li  0.697  0.697  0.910
Li  0.907  0.907  0.299
Mn  0.395  0.395  0.807
Mn  0.605  0.605  0.193
Co  0.203  0.203  0.400
Co  0.797  0.797  0.600
O  0.027  0.027  0.844
O  0.156  0.156  0.550
O  0.239  0.239  0.246
O  0.347  0.347  0.939
O  0.436  0.436  0.657
O  0.564  0.564  0.343
O  0.653  0.653  0.061
O  0.761  0.761  0.754
O  0.844  0.844  0.450
O  0.973  0.973  0.156

Computed properties:
Density in g/cm³: 4.02
Crystal system: monoclinic
Magnetic moment in μB per atom: 0.6717
Uncorrected energy in eV per atom: -5.907